Entry 1:
K6InF12 | PBE | optimized geometry

As for the energy relative to the elements, uncorrected: -44.225 eV/f.u. The crystal system is trigonal.

It has space group R-3 (No. 148, hexagonal axes), with a = 11.2380 Å, b = 11.2380 Å, c = 10.4753 Å, α = 90.00°, β = 90.00° and γ = 120.00°. The asymmetric unit holds K at (0.0592, 0.4833, 0.3258), In at (0.0000, 0.0000, 0.0000), F at (0.0386, 0.1761, 0.8928) and F at (0.0699, 0.4939, 0.0559).

---

Entry 2:
NaAc2ErTe5 | PBE | optimized geometry

As for the energy relative to the elements, uncorrected: -12.390 eV/f.u. The crystal system is orthorhombic.

It has space group Cmc2_1 (No. 36), with a = 4.613 Å, b = 19.151 Å, c = 14.048 Å, α = 90.00°, β = 90.00° and γ = 90.00°. The asymmetric unit holds Na at (0.000, 0.035, 0.000), Ac at (0.000, 0.366, 0.834), Ac at (0.000, 0.397, 0.218), Er at (0.000, 0.298, 0.544), Te at (0.000, 0.007, 0.305), Te at (0.000, 0.137, 0.532), Te at (0.000, 0.190, 0.891), Te at (0.000, 0.222, 0.193) and Te at (0.000, 0.442, 0.614).

---

Entry 3:
Th8Sc | PBE | optimized geometry

Its formation energy is 0.028 eV/atom. The offset from the most stable computed form comes out at 0 meV/atom. The crystal system is tetragonal.

It has space group I4/mmm (No. 139), with a = 10.629 Å, b = 10.629 Å, c = 4.986 Å, α = 90.00°, β = 90.00° and γ = 90.00°. The asymmetric unit holds Th at (0.000, 0.330, 0.000), Th at (0.165, 0.165, 0.500) and Sc at (0.000, 0.000, 0.000).

---

Entry 4:
NbCoB2 | PBE | optimized geometry

Its formation energy is 0.260 eV/atom. The offset from the most stable computed form comes out at 878 meV/atom. The crystal system is cubic.

It has space group Fm-3m (No. 225), with a = 5.439 Å, b = 5.439 Å, c = 5.439 Å, α = 90.00°, β = 90.00° and γ = 90.00°. The asymmetric unit holds Nb at (0.000, 0.000, 0.000), Co at (0.000, 0.000, 0.500) and B at (0.250, 0.250, 0.250).

---

The records above give, respectively, magnetization values of 9.810; 0.000; 0.000; 0.001 Bohr magnetons per cell.
The records above give, respectively, E_tot values of -4.000; -4.689; -7.271; -7.373 eV/atom.